This record from Alexandria describes a relaxed InPtPb crystal. The functional is PBE.

abc: 3.861 3.861 5.896
angles: 90.00 90.00 120.00
Positions (direct):
1 Pb 0.333 0.667 0.381
2 Pt 0.667 0.333 0.677
3 In 0.000 0.000 0.942

## Properties
* crystal system: trigonal
* energy of formation: -0.505 eV per formula unit

This record from Alexandria describes a relaxed Ac4GeBr4 crystal. The functional is PBE.

abc: 7.625 7.625 8.240
angles: 117.56 117.56 90.00
Positions (direct):
1 Ac 0.056 0.056 0.698
2 Ac 0.944 0.357 0.302
3 Ac 0.357 0.944 0.302
4 Ge 0.000 0.000 0.000
5 Ac 0.643 0.643 0.698
6 Br 0.500 0.000 0.000
7 Br 0.656 0.656 0.311
8 Br 0.344 0.344 0.689
9 Br 0.000 0.500 0.000

## Properties
* crystal system: tetragonal
* raw total energy: -36.95 eV per cell

This record from Alexandria describes a relaxed LaNd2HoAs4 crystal. The functional is PBE.

abc: 4.261 7.374 7.370
angles: 70.57 90.00 90.00
Positions (direct):
1 Ho 0.000 0.500 0.500
2 As 0.000 0.749 0.744
3 As 0.000 0.251 0.256
4 Nd 0.000 0.000 0.000
5 Nd 0.500 0.000 0.500
6 As 0.500 0.744 0.258
7 La 0.500 0.500 0.000
8 As 0.500 0.256 0.742

## Properties
* crystal system: monoclinic
* energy of formation: -12.133 eV per formula unit

This record from Alexandria describes a relaxed CrPtSe2 crystal. The functional is PBE.

abc: 8.083 8.083 8.083
angles: 22.02 22.02 22.02
Positions (direct):
1 Se 0.513 0.513 0.513
2 Cr 0.250 0.250 0.250
3 Se 0.987 0.987 0.987
4 Pt 0.750 0.750 0.750

## Properties
* crystal system: trigonal
* distance to the lowest polymorph of the same formula: 1.40 eV/f.u.

This record from Alexandria describes a relaxed CuAg5Te6 crystal. The functional is PBE.

abc: 7.093 7.454 7.454
angles: 116.07 103.16 103.16
Positions (direct):
1 Te 0.762 0.534 0.858
2 Te 0.762 0.858 0.534
3 Ag 0.500 0.170 0.830
4 Te 0.235 0.831 0.831
5 Te 0.238 0.142 0.466
6 Te 0.765 0.169 0.169
7 Ag 0.500 0.830 0.170
8 Ag 0.500 0.500 0.500
9 Ag 0.000 0.339 0.661
10 Ag 0.000 0.661 0.339
11 Cu 0.000 0.000 0.000
12 Te 0.238 0.466 0.142

## Properties
* crystal system: monoclinic
* raw total energy: -37.08 eV per cell

This record from Alexandria describes a relaxed Pu2HgIr crystal. The functional is PBE.

abc: 3.378 3.378 8.162
angles: 90.00 90.00 90.00
Positions (direct):
1 Ir 0.500 0.500 0.000
2 Pu 0.000 0.000 0.210
3 Hg 0.500 0.500 0.500
4 Pu 0.000 0.000 0.790

## Properties
* crystal system: tetragonal
* distance to the lowest polymorph of the same formula: 0.00 eV/f.u.
* energy of formation: -1.334 eV per formula unit